[1]
An optimized crystal structure of CdTe3Pd, computed with PBEsol.

Calculated values
Total magnetic moment   0.0 μB/f.u.
Space-group type   Pm-3m, No. 221
Raw total energy   -12.887 eV/cell
Calculated volume   159.90 Å³/cell
Uncorrected formation energy   0.97 eV per atom

Lattice parameters (Å, degrees): 5.428 5.428 5.428 90.00 90.00 90.00
Sites, in units of the cell vectors:
Te1 0.000 0.000 0.500
Te2 0.500 0.000 0.000
Te3 0.000 0.500 0.000
Cd1 0.000 0.000 0.000
Pd1 0.500 0.500 0.500

***

[2]
An optimized crystal structure of Fe3HgAu, computed with PBEsol.

Calculated values
Total magnetic moment   9.6 μB/f.u.
Space-group type   Pm-3m, No. 221
Raw total energy   -24.598 eV/cell
Calculated volume   102.71 Å³/cell
Energy of formation   1.36 eV per atom

Lattice parameters (Å, degrees): 4.683 4.683 4.683 90.00 90.00 90.00
Last column: magnetic moment on the atom in μB.
Sites, in units of the cell vectors:
Hg1 0.500 0.500 0.500  -0.01
Fe1 0.000 0.500 0.000  3.12
Fe2 0.500 0.000 0.000  3.12
Fe3 0.000 0.000 0.500  3.12
Au1 0.000 0.000 0.000  0.18

***

[3]
An optimized crystal structure of Te2MoRu, computed with PBEsol.

Calculated values
Excess energy over the best structure of this formula in the dataset   0.00 kcal/mol of atoms
Total magnetic moment   0.0 μB/f.u.
Space-group type   P4/mmm, No. 123
Raw total energy   -27.900 eV/cell
Calculated volume   70.44 Å³/cell
Uncorrected formation energy   0.27 eV per atom

Lattice parameters (Å, degrees): 3.290 3.290 6.508 90.00 90.00 90.00
Sites, in units of the cell vectors:
Te1 0.000 0.000 0.252
Te2 0.000 0.000 0.748
Ru1 0.500 0.500 0.000
Mo1 0.500 0.500 0.500

***

[4]
An optimized crystal structure of SiP2Se, computed with PBEsol.

Calculated values
Excess energy over the best structure of this formula in the dataset   0.00 kcal/mol of atoms
Total magnetic moment   0.0 μB/f.u.
Space-group type   P2/m, No. 10
Raw total energy   -21.030 eV/cell
Calculated volume   66.64 Å³/cell
Uncorrected formation energy   0.04 eV per atom

Lattice parameters (Å, degrees): 3.565 4.240 4.705 110.44 90.00 90.00
Sites, in units of the cell vectors:
Se1 0.500 0.000 0.500
P1 0.000 0.755 0.805
P2 0.000 0.245 0.195
Si1 0.500 0.500 0.000

***

[5]
An optimized crystal structure of BeAlB3, computed with PBEsol.

Calculated values
Excess energy over the best structure of this formula in the dataset   16.91 kcal/mol of atoms
Total magnetic moment   0.0 μB/f.u.
Space-group type   Pm-3m, No. 221
Raw total energy   -18.457 eV/cell
Calculated volume   66.76 Å³/cell
Energy of formation   2.14 eV per atom

Lattice parameters (Å, degrees): 4.057 4.057 4.057 90.00 90.00 90.00
Sites, in units of the cell vectors:
B1 0.500 0.000 0.000
B2 0.000 0.500 0.000
B3 0.000 0.000 0.500
Al1 0.000 0.000 0.000
Be1 0.500 0.500 0.500

***

[6]
An optimized crystal structure of SbP3Se, computed with PBEsol.

Calculated values
Total magnetic moment   0.0 μB/f.u.
Space-group type   Pm-3m, No. 221
Raw total energy   -18.874 eV/cell
Calculated volume   121.37 Å³/cell
Uncorrected formation energy   1.38 eV per atom

Lattice parameters (Å, degrees): 4.951 4.951 4.951 90.00 90.00 90.00
Sites, in units of the cell vectors:
P1 0.500 0.000 0.000
P2 0.000 0.500 0.000
P3 0.000 0.000 0.500
Sb1 0.000 0.000 0.000
Se1 0.500 0.500 0.500

***

[7]
An optimized crystal structure of SiPSeS2, computed with PBEsol.

Calculated values
Total magnetic moment   0.0 μB/f.u.
Space-group type   P4/mmm, No. 123
Raw total energy   -21.720 eV/cell
Calculated volume   88.52 Å³/cell
Uncorrected formation energy   0.49 eV per atom

Lattice parameters (Å, degrees): 4.347 4.347 4.684 90.00 90.00 90.00
Sites, in units of the cell vectors:
Se1 0.500 0.500 0.500
S1 0.000 0.500 0.000
S2 0.500 0.000 0.000
Si1 0.000 0.000 0.000
P1 0.000 0.000 0.500

***

[8]
An optimized crystal structure of Zr2TiNbCu, computed with PBEsol.

Calculated values
Total magnetic moment   0.1 μB/f.u.
Space-group type   P4/mmm, No. 123
Raw total energy   -37.792 eV/cell
Calculated volume   103.93 Å³/cell
Energy of formation   0.77 eV per atom

Lattice parameters (Å, degrees): 4.427 4.845 4.845 90.00 90.00 90.00
Last column: magnetic moment on the atom in μB.
Sites, in units of the cell vectors:
Ti1 0.500 0.000 0.000  0.06
Zr1 0.000 0.000 0.500  0.00
Zr2 0.000 0.500 0.000  0.00
Nb1 0.500 0.500 0.500  0.03
Cu1 0.000 0.000 0.000  0.01

***

[9]
An optimized crystal structure of BaTa2W, computed with PBEsol.

Calculated values
Excess energy over the best structure of this formula in the dataset   0.00 kcal/mol of atoms
Total magnetic moment   0.0 μB/f.u.
Space-group type   Cmmm, No. 65
Raw total energy   -38.355 eV/cell
Calculated volume   84.73 Å³/cell
Energy of formation   0.68 eV per atom

Lattice parameters (Å, degrees): 2.978 2.978 10.389 90.00 90.00 113.13
Sites, in units of the cell vectors:
W1 0.500 0.500 0.500
Ba1 0.500 0.500 0.000
Ta1 0.000 0.000 0.701
Ta2 0.000 0.000 0.299

***

[10]
An optimized crystal structure of TaInP, computed with PBEsol.

Calculated values
Total magnetic moment   1.1 μB/f.u.
Space-group type   F-43m, No. 216
Raw total energy   -17.335 eV/cell
Calculated volume   65.13 Å³/cell
Energy of formation   1.33 eV per atom

Lattice parameters (Å, degrees): 4.516 4.516 4.516 60.00 60.00 60.00
Last column: magnetic moment on the atom in μB.
Sites, in units of the cell vectors:
P1 0.000 0.000 0.000  -0.01
In1 0.250 0.250 0.250  0.06
Ta1 0.500 0.500 0.500  0.72

***

[11]
An optimized crystal structure of Zn3Os, computed with PBEsol.

Calculated values
Total magnetic moment   0.0 μB/f.u.
Space-group type   Pmmn, No. 59
Raw total energy   -33.218 eV/cell
Calculated volume   107.19 Å³/cell
Energy of formation   0.09 eV per atom

Lattice parameters (Å, degrees): 4.261 4.852 5.185 90.00 90.00 90.00
Sites, in units of the cell vectors:
Os1 0.000 0.651 0.000
Os2 0.500 0.349 0.500
Zn1 0.000 0.154 0.751
Zn2 0.500 0.342 0.000
Zn3 0.000 0.658 0.500
Zn4 0.500 0.846 0.749
Zn5 0.500 0.846 0.251
Zn6 0.000 0.154 0.249

***

[12]
An optimized crystal structure of CuSb2Br, computed with PBEsol.

Calculated values
Excess energy over the best structure of this formula in the dataset   0.00 kcal/mol of atoms
Total magnetic moment   0.0 μB/f.u.
Space-group type   Amm2, No. 38
Raw total energy   -15.097 eV/cell
Calculated volume   95.14 Å³/cell
Uncorrected formation energy   0.06 eV per atom

Lattice parameters (Å, degrees): 3.981 5.142 5.142 115.32 90.00 90.00
Sites, in units of the cell vectors:
Cu1 0.500 0.238 0.762
Sb1 0.000 0.025 0.975
Sb2 0.500 0.780 0.220
Br1 0.000 0.457 0.543

***

[13]
An optimized crystal structure of Si2PW, computed with PBEsol.

Calculated values
Total magnetic moment   0.0 μB/f.u.
Space-group type   P4/mmm, No. 123
Raw total energy   -30.900 eV/cell
Calculated volume   53.70 Å³/cell
Uncorrected formation energy   0.05 eV per atom

Lattice parameters (Å, degrees): 3.265 3.265 5.037 90.00 90.00 90.00
Sites, in units of the cell vectors:
Si1 0.000 0.000 0.742
Si2 0.000 0.000 0.258
P1 0.500 0.500 0.500
W1 0.500 0.500 0.000

***

[14]
An optimized crystal structure of Zn2CrTe, computed with PBEsol.

Calculated values
Total magnetic moment   3.1 μB/f.u.
Space-group type   Immm, No. 71
Raw total energy   -15.684 eV/cell
Calculated volume   67.95 Å³/cell
Uncorrected formation energy   0.31 eV per atom

Lattice parameters (Å, degrees): 3.836 3.825 5.364 110.89 110.95 90.00
Last column: magnetic moment on the atom in μB.
Sites, in units of the cell vectors:
Cr1 0.500 0.000 0.000  3.08
Zn1 0.750 0.750 0.500  -0.05
Zn2 0.250 0.250 0.500  -0.05
Te1 0.000 0.500 0.000  -0.02

***

[15]
An optimized crystal structure of ZrScBe2Pb, computed with PBEsol.

Calculated values
Total magnetic moment   0.0 μB/f.u.
Space-group type   P4/mmm, No. 123
Raw total energy   -21.880 eV/cell
Calculated volume   108.08 Å³/cell
Energy of formation   1.16 eV per atom

Lattice parameters (Å, degrees): 4.743 4.743 4.804 90.00 90.00 90.00
Sites, in units of the cell vectors:
Be1 0.500 0.000 0.000
Be2 0.000 0.500 0.000
Pb1 0.500 0.500 0.500
Sc1 0.000 0.000 0.500
Zr1 0.000 0.000 0.000